Tb2PI, optimized geometry, DFT GGA-PBE; electronic total energy = -5.3755 eV/atom
1.0
4.064 0.000 0.000
2.032 3.519 0.000
2.032 1.173 7.493
Tb P I
2 1 1
direct
0.063 0.063 0.810
0.270 0.270 0.191
0.668 0.668 0.996
0.499 0.499 0.503

---

Tb4P2I5, optimized geometry, DFT GGA-PBE; electronic total energy = -4.5843 eV/atom
1.0
-2.691 -2.069 2.128
5.217 -6.435 0.341
6.264 5.246 9.252
Tb P I
4 2 5
direct
0.658 0.543 0.315
0.013 0.689 0.025
0.342 0.457 0.685
0.987 0.311 0.975
0.557 0.446 0.114
0.443 0.554 0.886
0.137 0.818 0.274
0.863 0.182 0.726
0.212 0.305 0.423
0.500 0.000 0.000
0.788 0.695 0.577

---

Tb4PI5, optimized geometry, DFT GGA-PBE; electronic total energy = -4.5040 eV/atom
1.0
4.138 0.000 0.000
0.000 8.739 -0.411
-2.069 -1.647 9.389
Tb P I
4 1 5
direct
0.358 0.929 0.716
0.001 0.795 0.002
0.642 0.071 0.284
0.999 0.205 0.998
0.500 0.000 0.000
0.835 0.662 0.670
0.829 0.175 0.658
0.171 0.825 0.342
0.500 0.500 0.000
0.165 0.338 0.330

---

Tb2PI2, optimized geometry, DFT GGA-PBE; electronic total energy = -5.0890 eV/atom
1.0
4.054 0.000 0.750
1.958 3.550 0.750
-0.074 -0.044 11.734
Tb P I
2 1 2
direct
0.623 0.623 0.130
0.377 0.377 0.870
0.000 0.000 0.000
0.230 0.230 0.309
0.770 0.770 0.691

---

Tb3PI3, optimized geometry, DFT GGA-PBE; electronic total energy = -4.7577 eV/atom
1.0
6.755 0.000 2.171
3.029 6.038 2.171
-0.135 -0.083 12.016
Tb P I
6 2 6
direct
0.956 0.297 0.131
0.615 0.956 0.131
0.297 0.615 0.131
0.703 0.385 0.869
0.385 0.044 0.869
0.044 0.703 0.869
0.667 0.667 0.000
0.333 0.333 0.000
0.227 0.896 0.313
0.564 0.227 0.313
0.896 0.564 0.313
0.104 0.436 0.687
0.436 0.773 0.687
0.773 0.104 0.687

---

TbYPI, optimized geometry, DFT GGA-PBE; electronic total energy = -5.8330 eV/atom
1.0
-2.441 3.042 1.151
-0.214 -3.601 1.878
6.854 1.438 3.539
Tb Y P I
1 1 1 1
direct
0.096 0.946 0.056
0.510 0.153 0.678
0.305 0.551 0.871
0.967 0.382 0.364

---

TcP2I, optimized geometry, DFT GGA-PBE; electronic total energy = -5.3749 eV/atom; E above lowest polymorph = 0.00 eV per formula unit
1.0
-3.089 5.204 1.961
-4.311 -0.824 -4.605
-6.550 -0.701 1.863
I P Tc
2 4 2
direct
0.000 0.000 0.000
0.750 0.250 0.500
0.516 0.125 0.250
0.234 0.625 0.250
0.375 0.484 0.750
0.875 0.766 0.750
0.500 0.500 0.000
0.250 0.750 0.500

---

TcP2I, optimized geometry, DFT GGA-PBE; electronic total energy = -4.6361 eV/atom; E above lowest polymorph = 2.96 eV per formula unit
1.0
1.515 -1.552 4.025
-2.762 -2.459 2.688
0.765 -4.469 0.585
I P Tc
1 2 1
direct
0.500 0.500 0.500
0.250 0.250 0.250
0.750 0.750 0.750
0.000 0.000 0.000

---

Tc2PI4, optimized geometry, DFT GGA-PBE; electronic total energy = -3.8191 eV/atom
1.0
-4.686 -0.199 3.423
2.794 -3.583 3.617
1.323 3.322 6.930
I P Tc
4 1 2
direct
0.792 0.792 0.417
0.208 0.208 0.583
0.000 0.500 0.000
0.500 0.000 0.000
0.000 0.000 0.000
0.579 0.579 0.843
0.421 0.421 0.157

---

TcPI2, optimized geometry, DFT GGA-PBE; electronic total energy = -4.5151 eV/atom; E above lowest polymorph = 0.00 eV per formula unit
1.0
10.126 0.000 0.000
0.000 10.126 0.000
5.063 5.063 2.258
I P Tc
4 2 2
direct
0.775 0.125 0.250
0.975 0.625 0.250
0.375 0.225 0.750
0.875 0.025 0.750
0.500 0.500 0.000
0.250 0.750 0.500
0.000 0.000 0.000
0.750 0.250 0.500

---

TcPI2, optimized geometry, DFT GGA-PBE; electronic total energy = -3.5389 eV/atom; E above lowest polymorph = 3.90 eV per formula unit
1.0
-1.775 0.690 4.524
-4.684 -1.084 0.990
-1.080 -3.864 2.829
I P Tc
2 1 1
direct
0.250 0.250 0.250
0.750 0.750 0.750
0.000 0.000 0.000
0.500 0.500 0.500

---

TcPI3, optimized geometry, DFT GGA-PBE; electronic total energy = -3.0254 eV/atom; E above lowest polymorph = 0.46 eV per formula unit
1.0
5.516 0.000 0.000
0.000 5.516 0.000
0.000 0.000 5.516
I P Tc
3 1 1
direct
0.000 0.500 0.000
0.000 0.000 0.500
0.500 0.000 0.000
0.000 0.000 0.000
0.500 0.500 0.500

---

- What is the electronic total energy in the second record?
  -4.5843 eV/atom

---

What did the seventh record say?
TcP2I, optimized geometry, DFT GGA-PBE; electronic total energy = -5.3749 eV/atom; E above lowest polymorph = 0.00 eV per formula unit
1.0
-3.089 5.204 1.961
-4.311 -0.824 -4.605
-6.550 -0.701 1.863
I P Tc
2 4 2
direct
0.000 0.000 0.000
0.750 0.250 0.500
0.516 0.125 0.250
0.234 0.625 0.250
0.375 0.484 0.750
0.875 0.766 0.750
0.500 0.500 0.000
0.250 0.750 0.500

---

- Among the records above, which one has the highest electronic total energy?
  TcPI3